No. 1
A relaxed NiGe3S crystal, computed with PBE-GGA.

Cell and atoms, written as POSCAR:
```
NiGe3S
1.0
-2.2467 4.0045 0.0637
-3.8248 -2.1670 1.3277
1.1879 0.5965 4.3956
Ge S Ni
3 1 1
Direct
0.0000 0.5000 0.0000
0.5000 0.0000 0.0000
0.0000 0.0000 0.5000
0.5000 0.5000 0.5000
0.0000 0.0000 0.0000
```

As for the space-group type: Pm-3m (221). As for the energy relative to the elements, uncorrected: 0.191 eV/atom. The calculation puts the polymorph energy (0 for the lowest one) at 0 meV per atom.

No. 2
A relaxed InOs2Ru crystal, computed with PBE-GGA.

Cell and atoms, written as POSCAR:
```
InOs2Ru
1.0
-1.3673 -1.5894 -3.1623
-1.3101 -1.9469 1.5450
-6.0938 1.5202 1.8708
Os In Ru
2 1 1
Direct
0.0000 0.9679 0.0322
0.5000 0.2552 0.2448
0.5000 0.7555 0.7447
0.0000 0.5214 0.4783
```

As for the space-group type: Pm (6). The formation energy is 1.44 eV/f.u.

No. 3
A relaxed SmMgGa2Pt4 crystal, computed with PBE-GGA.

Cell and atoms, written as POSCAR:
```
SmMgGa2Pt4
1.0
-2.3841 -0.0576 -3.6303
-1.8960 -3.6871 -1.2948
-8.5099 0.7719 2.9780
Ga Sm Mg Pt
2 1 1 4
Direct
0.2419 0.2419 0.2742
0.7581 0.7581 0.7258
0.0000 0.0000 0.0000
0.5000 0.5000 0.5000
0.1318 0.1318 0.6046
0.4008 0.4008 0.7974
0.5992 0.5992 0.2026
0.8682 0.8682 0.3954
```

As for the space-group type: R-3m (166). The formation energy is -6.79 eV/f.u.

No. 4
A relaxed MnZnMo2 crystal, computed with PBE-GGA.

Cell and atoms, written as POSCAR:
```
MnZnMo2
1.0
-0.3918 -3.3070 0.6155
3.4740 -0.7756 -1.9558
5.6282 -0.3517 1.6934
Mo Mn Zn
2 1 1
Direct
0.5000 0.5000 0.0000
0.0000 0.0000 0.0000
0.0000 0.0000 0.5000
0.5000 0.5000 0.5000
```

As for the space-group type: Pmmm (47). The formation energy is 0.56 eV/f.u.

No. 5
A relaxed GaTc3F crystal, computed with PBE-GGA.

Cell and atoms, written as POSCAR:
```
GaTc3F
1.0
-4.7140 -0.8652 0.3802
0.7346 -2.1382 4.2431
-0.5945 4.2184 2.2287
Tc Ga F
3 1 1
Direct
0.5000 0.0000 0.0000
0.0000 0.0000 0.5000
0.0000 0.5000 0.0000
0.0000 0.0000 0.0000
0.5000 0.5000 0.5000
```

As for the space-group type: Pm-3m (221). As for the energy relative to the elements, uncorrected: 1.733 eV/atom. The calculation puts the polymorph energy (0 for the lowest one) at 938 meV per atom.

No. 6
A relaxed RbIn2Se4 crystal, computed with PBE-GGA.

Cell and atoms, written as POSCAR:
```
RbIn2Se4
1.0
-1.8174 2.5831 2.6779
2.6362 -5.8241 4.2056
11.2532 6.2529 1.6055
Se Rb In
8 2 4
Direct
0.5000 0.0000 0.0000
0.9363 0.8726 0.7500
0.7588 0.5176 0.1155
0.7588 0.5176 0.3845
0.2412 0.4824 0.8845
0.2412 0.4824 0.6155
0.5000 0.0000 0.5000
0.0637 0.1274 0.2500
0.6068 0.2137 0.7500
0.3932 0.7863 0.2500
0.8605 0.7210 0.9381
0.1395 0.2790 0.4381
0.1395 0.2790 0.0619
0.8605 0.7210 0.5619
```

As for the space-group type: Cmcm (63). As for the energy relative to the elements, uncorrected: -0.487 eV/atom.

No. 7
A relaxed SrAs2Br crystal, computed with PBE-GGA.

Cell and atoms, written as POSCAR:
```
SrAs2Br
1.0
6.9912 -0.0118 -0.0140
4.5943 5.2697 0.0140
-5.7863 -2.6432 2.9000
Sr As Br
1 2 1
Direct
0.2500 0.7500 0.5000
0.0001 0.0001 0.0000
0.4999 0.4999 0.0000
0.7500 0.2500 0.5000
```

As for the space-group type: I4/mmm (139). As for the energy relative to the elements, uncorrected: -0.668 eV/atom. The calculation puts the polymorph energy (0 for the lowest one) at 239 meV per atom.

No. 8
A relaxed NaGe2Ir crystal, computed with PBE-GGA.

Cell and atoms, written as POSCAR:
```
NaGe2Ir
1.0
-3.7803 -2.3015 0.7212
-3.2569 0.0153 -3.0823
-0.8565 -3.7058 -2.3751
Ge Na Ir
2 1 1
Direct
0.2500 0.2500 0.2500
0.7500 0.7500 0.7500
0.0000 0.0000 0.0000
0.5000 0.5000 0.5000
```

As for the space-group type: Fm-3m (225). The formation energy is -0.16 eV/f.u.